# 1
First-principles (meta-GGA SCAN) data for BaSc2W at its PBEsol-relaxed geometry, as listed in Alexandria via LeMat-Bulk.

Unit cell a=11.297 b=11.297 c=11.297 alpha=16.05 beta=16.05 gamma=16.05
Sites, in units of the cell vectors:
1 Ba 0.000 0.000 0.000
2 Sc 0.234 0.234 0.234
3 Sc 0.484 0.484 0.484
4 W 0.751 0.751 0.751

Calculated values
* energy above the most stable polymorph in this dataset: 0.4459 eV per atom
* energy of formation from the pure elements: 3.6 eV/f.u.
* N(E_F): 4.9 states/eV/cell

=====

# 2
First-principles (meta-GGA SCAN) data for BaZrSc at its PBEsol-relaxed geometry, as listed in Alexandria via LeMat-Bulk.

Unit cell a=5.017 b=5.017 c=5.017 alpha=60.00 beta=60.00 gamma=60.00
Sites, in units of the cell vectors:
1 Ba 0.000 0.000 0.000
2 Zr 0.750 0.750 0.750
3 Sc 0.250 0.250 0.250

Calculated values
* energy above the most stable polymorph in this dataset: 0.9094 eV per atom
* energy of formation from the pure elements: 4.3 eV/f.u.
* N(E_F): 5.0 states/eV/cell

=====

# 3
First-principles (meta-GGA SCAN) data for BaZrSc at its PBEsol-relaxed geometry, as listed in Alexandria via LeMat-Bulk.

Unit cell a=6.425 b=6.425 c=6.425 alpha=149.02 beta=139.33 gamma=51.99
Sites, in units of the cell vectors:
1 Ba 0.000 0.000 0.000
2 Zr 0.306 0.306 0.000
3 Sc 0.694 0.694 0.000

Calculated values
* energy above the most stable polymorph in this dataset: 0.0000 eV per atom
* energy of formation from the pure elements: 1.6 eV/f.u.
* N(E_F): 4.1 states/eV/cell